Record 1
A relaxed SmZn2Bi crystal. Source: the Alexandria database, functional PBE-GGA.

abc: 4.515 4.515 4.606
angles: 90.00 90.00 90.00
Atoms (fractional coordinates):
Sm 0.000 0.000 0.000
Zn 0.000 0.500 0.500
Zn 0.500 0.000 0.500
Bi 0.500 0.500 0.000

Results
N(E_F): 2.0 states/eV/cell
symmetry: P4/mmm (123)
DFT formation energy: -0.33 eV per atom

Record 2
A relaxed Sm7Zn2Bi2 crystal. Source: the Alexandria database, functional PBE-GGA.

abc: 7.355 7.355 6.721
angles: 90.00 90.00 100.76
Atoms (fractional coordinates):
Sm 0.000 0.000 0.000
Sm 0.000 0.500 0.255
Sm 0.000 0.500 0.745
Sm 0.500 0.000 0.255
Sm 0.500 0.000 0.745
Sm 0.500 0.500 0.241
Sm 0.500 0.500 0.759
Zn 0.274 0.726 0.000
Zn 0.726 0.274 0.000
Bi 0.190 0.190 0.500
Bi 0.810 0.810 0.500

Results
N(E_F): 14.9 states/eV/cell
symmetry: Cmmm (65)
DFT formation energy: -0.15 eV per atom

Record 3
A relaxed Sm5ZnBi3 crystal. Source: the Alexandria database, functional PBE-GGA.

abc: 9.558 9.558 6.553
angles: 90.00 90.00 120.00
Atoms (fractional coordinates):
Sm 0.000 0.261 0.250
Sm 0.000 0.739 0.750
Sm 0.261 0.000 0.250
Sm 0.261 0.261 0.750
Sm 0.333 0.667 0.000
Sm 0.333 0.667 0.500
Sm 0.667 0.333 0.000
Sm 0.667 0.333 0.500
Sm 0.739 0.000 0.750
Sm 0.739 0.739 0.250
Zn 0.000 0.000 0.000
Zn 0.000 0.000 0.500
Bi 0.000 0.382 0.750
Bi 0.000 0.618 0.250
Bi 0.382 0.000 0.750
Bi 0.382 0.382 0.250
Bi 0.618 0.000 0.250
Bi 0.618 0.618 0.750

Results
N(E_F): 19.1 states/eV/cell
symmetry: P6_3/mcm (193)
DFT formation energy: -0.72 eV per atom

Record 4
A relaxed Sm5ZnBi2 crystal. Source: the Alexandria database, functional PBE-GGA.

abc: 6.644 6.644 14.374
angles: 90.00 90.00 127.19
Atoms (fractional coordinates):
Sm 0.073 0.927 0.606
Sm 0.073 0.927 0.894
Sm 0.375 0.625 0.553
Sm 0.375 0.625 0.947
Sm 0.419 0.581 0.250
Sm 0.581 0.419 0.750
Sm 0.625 0.375 0.053
Sm 0.625 0.375 0.447
Sm 0.927 0.073 0.106
Sm 0.927 0.073 0.394
Zn 0.287 0.713 0.750
Zn 0.713 0.287 0.250
Bi 0.197 0.803 0.120
Bi 0.197 0.803 0.380
Bi 0.803 0.197 0.620
Bi 0.803 0.197 0.880

Results
N(E_F): 14.2 states/eV/cell
symmetry: Cmcm (63)
DFT formation energy: -0.25 eV per atom

Record 5
A relaxed SmZnBi crystal. Source: the Alexandria database, functional PBE-GGA.

abc: 4.556 4.556 4.451
angles: 90.00 90.00 120.00
Atoms (fractional coordinates):
Sm 0.000 0.000 0.000
Zn 0.333 0.667 0.696
Bi 0.667 0.333 0.451

Results
N(E_F): 0.4 states/eV/cell
symmetry: P3m1 (156)
DFT formation energy: -0.49 eV per atom

Record 6
A relaxed Sm5Zn2Bi crystal. Source: the Alexandria database, functional PBE-GGA.

abc: 8.772 8.772 8.772
angles: 122.59 122.59 85.57
Atoms (fractional coordinates):
Sm 0.000 0.000 0.000
Sm 0.008 0.508 0.802
Sm 0.206 0.008 0.500
Sm 0.294 0.794 0.802
Sm 0.492 0.294 0.500
Sm 0.500 0.500 0.000
Sm 0.508 0.706 0.500
Sm 0.706 0.206 0.198
Sm 0.794 0.992 0.500
Sm 0.992 0.492 0.198
Zn 0.144 0.356 0.500
Zn 0.356 0.856 0.212
Zn 0.644 0.144 0.788
Zn 0.856 0.644 0.500
Bi 0.250 0.250 0.000
Bi 0.750 0.750 0.000

Results
N(E_F): 13.0 states/eV/cell
symmetry: I4/mcm (140)
DFT formation energy: -0.40 eV per atom

Record 7
A relaxed SmZrBi2 crystal. Source: the Alexandria database, functional PBE-GGA.

abc: 4.290 4.290 22.888
angles: 90.00 90.00 120.00
Atoms (fractional coordinates):
Sm 0.000 0.000 0.000
Sm 0.333 0.667 0.667
Sm 0.667 0.333 0.333
Zr 0.000 0.000 0.171
Zr 0.333 0.667 0.838
Zr 0.667 0.333 0.505
Bi 0.000 0.000 0.425
Bi 0.000 0.000 0.582
Bi 0.333 0.667 0.091
Bi 0.333 0.667 0.248
Bi 0.667 0.333 0.758
Bi 0.667 0.333 0.915

Results
N(E_F): 9.6 states/eV/cell
symmetry: R3m (160)
DFT formation energy: -0.51 eV per atom
ΔE to the lowest computed polymorph: 0.042 eV/atom

Record 8
A relaxed SmZrBi2 crystal. Source: the Alexandria database, functional PBE-GGA.

abc: 4.374 4.374 21.717
angles: 90.00 90.00 120.00
Atoms (fractional coordinates):
Sm 0.000 0.000 0.000
Sm 0.333 0.667 0.667
Sm 0.667 0.333 0.333
Zr 0.000 0.000 0.500
Zr 0.333 0.667 0.167
Zr 0.667 0.333 0.833
Bi 0.000 0.000 0.244
Bi 0.000 0.000 0.756
Bi 0.333 0.667 0.423
Bi 0.333 0.667 0.911
Bi 0.667 0.333 0.089
Bi 0.667 0.333 0.577

Results
N(E_F): 7.1 states/eV/cell
symmetry: R-3m (166)
DFT formation energy: -0.55 eV per atom
ΔE to the lowest computed polymorph: 0.000 eV/atom